This record from Alexandria describes ZnCd2MoO6 after structural relaxation. The functional is PBE+U.

abc: 5.441 5.574 9.587
angles: 90.00 124.39 90.00
Space group P2_1/c (No. 14)
Symmetry-distinct sites (fractional):
Zn1 0.000 0.000 0.000 [2 per cell]
Cd1 0.260 0.046 0.750 [4 per cell]
Mo1 0.500 0.000 0.500 [2 per cell]
O1 0.158 0.044 0.263 [4 per cell]
O2 0.258 0.689 0.050 [4 per cell]
O3 0.379 0.210 0.061 [4 per cell]

DFT total energy: -5.286 eV/atom